# 1
PaBiCSe2 | PBE-GGA | optimized geometry

Cell: 4.051 4.051 14.974 Å, 90.00 90.00 90.00°
Atoms (fractional coordinates):
Pa 0.250 0.250 0.076
Pa 0.750 0.750 0.924
Bi 0.250 0.250 0.639
Bi 0.750 0.750 0.361
C 0.250 0.750 0.000
C 0.750 0.250 0.000
Se 0.250 0.250 0.402
Se 0.250 0.250 0.822
Se 0.750 0.750 0.178
Se 0.750 0.750 0.598

The uncorrected formation energy is -53 kJ per mole of atoms. Its space group is P4/nmm. As for the volume: 245.7 Å³/cell.

=====

# 2
Y3PbO | PBE-GGA | optimized geometry

Cell: 3.742 8.291 8.919 Å, 95.69 90.03 90.04°
Atoms (fractional coordinates):
Y 0.250 0.023 0.172
Y 0.250 0.339 0.876
Y 0.250 0.761 0.482
Y 0.750 0.239 0.518
Y 0.750 0.661 0.124
Y 0.750 0.977 0.828
Pb 0.249 0.404 0.273
Pb 0.751 0.596 0.727
O 0.250 0.089 0.930
O 0.750 0.911 0.070

The uncorrected formation energy is -125 kJ per mole of atoms. Its space group is P-1. As for the volume: 275.4 Å³/cell.

=====

# 3
TlMoIr2 | PBE-GGA | optimized geometry

Cell: 2.891 2.891 8.026 Å, 90.00 90.00 90.00°
Atoms (fractional coordinates):
Tl 0.000 0.000 0.000
Mo 0.500 0.500 0.715
Ir 0.000 0.000 0.501
Ir 0.500 0.500 0.260

As for the polymorph energy (0 for the lowest one): 0.297 eV/atom. As for the energy of formation: 0.3854 eV per atom. Its space group is P4mm. As for the volume: 67.1 Å³/cell.

=====

# 4
GdNbTcOs | PBE-GGA | optimized geometry

Cell: 4.664 4.664 4.664 Å, 60.00 60.00 60.00°
Atoms (fractional coordinates):
Gd 0.000 0.000 0.000
Nb 0.500 0.500 0.500
Tc 0.250 0.250 0.250
Os 0.750 0.750 0.750

As for the energy of formation: -0.0475 eV per atom. Its space group is F-43m. As for the volume: 71.8 Å³/cell.

=====

# 5
La3RuAu | PBE-GGA | optimized geometry

Cell: 6.868 6.868 6.868 Å, 71.93 71.93 71.93°
Atoms (fractional coordinates):
La 0.032 0.367 0.601
La 0.101 0.867 0.532
La 0.367 0.601 0.032
La 0.532 0.101 0.867
La 0.601 0.032 0.367
La 0.867 0.532 0.101
Ru 0.208 0.208 0.208
Ru 0.708 0.708 0.708
Au 0.011 0.011 0.011
Au 0.511 0.511 0.511

As for the polymorph energy (0 for the lowest one): 0.066 eV/atom. As for the energy of formation: -0.4208 eV per atom. Its space group is R3c. As for the volume: 284.5 Å³/cell.

=====

# 6
KLiTeI2 | PBE-GGA | optimized geometry

Cell: 5.854 5.854 5.288 Å, 90.00 90.00 90.00°
Atoms (fractional coordinates):
K 0.000 0.000 0.000
Li 0.500 0.500 0.500
Te 0.500 0.500 0.000
I 0.000 0.500 0.500
I 0.500 0.000 0.500

As for the polymorph energy (0 for the lowest one): 0.000 eV/atom. The uncorrected formation energy is -63 kJ per mole of atoms. Its space group is P4/mmm. As for the volume: 181.2 Å³/cell.

=====

Q: Among the records above, which one has the highest volume?
A: La3RuAu

=====

Q: Which of these has the lowest volume?
A: TlMoIr2